Computed, not measured: an optimized crystal structure of Nb2WI at the GGA-PBE level of DFT.

abc: 4.7462 4.7462 4.7462
angles: 60.00 60.00 60.00
Last column: nearest neighbours and their distance in Å.
Sites, in units of the cell vectors:
Nb  0.2500  0.2500  0.2500  4 W 2.91, 4 I 2.91
W  0.5000  0.5000  0.5000  8 Nb 2.91
Nb  0.7500  0.7500  0.7500  4 W 2.91, 4 I 2.91
I  0.0000  0.0000  0.0000  8 Nb 2.91

Properties
density of states at the Fermi level = 6.1 states/eV/f.u.
ΔE_f (raw) = 79.21 kJ per mole of atoms
crystal system = cubic
E_tot = -7.8398 eV/atom
offset from the most stable computed form = 0.000 eV per atom
symmetry = Fm-3m (225)
V = 75.6 Å³ per cell

***

Computed, not measured: an optimized crystal structure of La2Tb8Sc at the GGA-PBE level of DFT.

abc: 5.0527 7.9813 9.4415
angles: 104.78 105.52 90.00
Last column: nearest neighbours and their distance in Å.
Sites, in units of the cell vectors:
La  0.2262  0.6370  0.4525  10 Tb 3.57-3.65, 2 La 3.59
Tb  0.8673  0.8276  0.7347  7 Tb 3.48-3.65, 2 Sc 3.51, 3 La 3.64-3.65
Tb  0.1327  0.1724  0.2653  7 Tb 3.48-3.65, 2 Sc 3.51, 3 La 3.64-3.65
Sc  0.5000  0.0000  0.0000  12 Tb 3.50-3.54
Tb  0.5881  0.4473  0.1762  1 Sc 3.50, 8 Tb 3.51-3.62, 3 La 3.60-3.61
Tb  0.6790  0.9072  0.3580  1 Sc 3.53, 8 Tb 3.54-3.65, 3 La 3.57-3.59
Tb  0.9567  0.2701  0.9133  9 Tb 3.48-3.62, 2 Sc 3.54, 1 La 3.60
Tb  0.3210  0.0928  0.6420  1 Sc 3.53, 8 Tb 3.54-3.65, 3 La 3.57-3.59
Tb  0.0433  0.7299  0.0867  9 Tb 3.48-3.62, 2 Sc 3.54, 1 La 3.60
Tb  0.4119  0.5527  0.8238  1 Sc 3.50, 8 Tb 3.51-3.62, 3 La 3.60-3.61
La  0.7738  0.3630  0.5475  10 Tb 3.57-3.65, 2 La 3.59

Properties
density of states at the Fermi level = 17.4 states/eV/f.u.
formation energy from the elements = 0.04 eV/atom
crystal system = monoclinic
E_tot = -4.8018 eV/atom
offset from the most stable computed form = 0.000 eV per atom
symmetry = C2/m (12)
V = 353.8 Å³ per cell

***

Computed, not measured: an optimized crystal structure of KAg2Ir at the GGA-PBE level of DFT.

abc: 5.0611 5.0611 6.7511
angles: 84.74 84.74 31.55
Last column: nearest neighbours and their distance in Å.
Sites, in units of the cell vectors:
K  0.2473  0.2473  0.2608  2 K 2.75
Ir  0.4892  0.4892  0.5809  2 Ir 2.75, 5 Ag 2.78-2.82
Ag  0.7511  0.7511  0.7249  5 Ag 2.75-3.02, 3 Ir 2.79-2.82
Ag  0.0125  0.0125  0.9333  5 Ag 2.75-3.02, 2 Ir 2.78

Properties
density of states at the Fermi level = 2.2 states/eV/f.u.
formation energy from the elements = 0.51 eV/atom
crystal system = monoclinic
E_tot = -3.4025 eV/atom
offset from the most stable computed form = 0.040 eV per atom
symmetry = Cm (8)
V = 90.1 Å³ per cell

***

Computed, not measured: an optimized crystal structure of Cs2PaSnSe5 at the GGA-PBE level of DFT.

abc: 4.5231 10.5789 15.2665
angles: 90.00 90.00 102.34
Last column: nearest neighbours and their distance in Å.
Sites, in units of the cell vectors:
Cs  0.8857  0.7713  0.1776  5 Se 3.63-3.77
Se  0.2944  0.5888  0.6364  2 Pa 2.83
Sn  0.4421  0.8843  0.4374  4 Se 2.51-2.76
Se  0.0665  0.1330  0.0378  2 Sn 2.74, 1 Pa 2.89
Pa  0.2059  0.4117  0.0246  4 Se 2.61-2.89
Se  0.7056  0.4112  0.1364  2 Pa 2.83
Pa  0.7941  0.5883  0.5246  4 Se 2.61-2.89
Se  0.6887  0.3774  0.9026  1 Sn 2.76, 2 Pa 2.95
Cs  0.1143  0.2287  0.6776  5 Se 3.63-3.77
Se  0.3308  0.6617  0.0010  1 Pa 2.61
Cs  0.8691  0.7383  0.8173  7 Se 3.62-3.95
Se  0.5044  0.0088  0.7893  1 Sn 2.51
Se  0.6692  0.3383  0.5010  1 Pa 2.61
Se  0.3113  0.6226  0.4026  1 Sn 2.76, 2 Pa 2.95
Sn  0.5579  0.1157  0.9374  4 Se 2.51-2.76
Se  0.9335  0.8670  0.5378  2 Sn 2.74, 1 Pa 2.89
Se  0.4956  0.9912  0.2893  1 Sn 2.51
Cs  0.1309  0.2617  0.3173  7 Se 3.62-3.95

Properties
density of states at the Fermi level = 3.0 states/eV/f.u.
ΔE_f (raw) = -103.53 kJ per mole of atoms
crystal system = orthorhombic
E_tot = -4.6984 eV/atom
symmetry = Cmc2_1 (36)
V = 713.6 Å³ per cell

***

Computed, not measured: an optimized crystal structure of PrErMgCo at the GGA-PBE level of DFT.

abc: 5.1064 5.1064 5.1064
angles: 60.00 60.00 60.00
Last column: nearest neighbours and their distance in Å.
Sites, in units of the cell vectors:
Pr  0.5000  0.5000  0.5000  4 Co 3.13, 4 Mg 3.13
Co  0.7500  0.7500  0.7500  4 Pr 3.13, 4 Er 3.13
Mg  0.2500  0.2500  0.2500  4 Pr 3.13, 4 Er 3.13
Er  0.0000  0.0000  0.0000  4 Mg 3.13, 4 Co 3.13

Properties
density of states at the Fermi level = 2.6 states/eV/f.u.
formation energy from the elements = 0.05 eV/atom
crystal system = cubic
E_tot = -4.4654 eV/atom
symmetry = F-43m (216)
V = 94.2 Å³ per cell

***

Computed, not measured: an optimized crystal structure of ZrSc2Tl at the GGA-PBE level of DFT.

abc: 3.3329 3.3329 10.2622
angles: 80.65 80.65 60.00
Last column: nearest neighbours and their distance in Å.
Sites, in units of the cell vectors:
Sc  0.0837  0.0837  0.7489  3 Zr 3.16, 3 Tl 3.18, 6 Sc 3.33
Sc  0.2497  0.2497  0.2508  3 Zr 3.17, 3 Tl 3.18, 6 Sc 3.33
Tl  0.6667  0.6667  0.0000  6 Sc 3.18, 6 Tl 3.33
Zr  0.4999  0.4999  0.5003  6 Sc 3.16-3.17, 6 Zr 3.33

Properties
density of states at the Fermi level = 4.5 states/eV/f.u.
formation energy from the elements = -0.10 eV/atom
crystal system = trigonal
E_tot = -5.9986 eV/atom
offset from the most stable computed form = 0.063 eV per atom
symmetry = R3m (160)
V = 97.0 Å³ per cell